Entry from the Alexandria database: a relaxed PdSeI3 crystal (PBE).

Geometry as POSCAR:
```
PdSeI3
1.0
-6.728 1.308 2.154
1.169 -5.933 7.255
4.521 10.268 7.669
I Pd Se
12 4 4
Direct
0.718 0.553 0.728
0.892 0.343 0.947
0.367 0.955 0.579
0.282 0.447 0.272
0.633 0.045 0.421
0.282 0.553 0.772
0.108 0.343 0.553
0.108 0.657 0.053
0.892 0.657 0.447
0.718 0.447 0.228
0.633 0.955 0.921
0.367 0.045 0.079
0.061 0.607 0.620
0.061 0.393 0.120
0.939 0.607 0.880
0.939 0.393 0.380
0.974 0.858 0.837
0.026 0.142 0.163
0.026 0.858 0.663
0.974 0.142 0.337
```

## Properties
SG ... P2/c (13)
Relative energy among the computed polymorphs ... 0 meV per atom
Uncorrected formation energy ... -100 meV per atom
Total magnetization ... 0.00 μB per cell